Here is a relaxed SbPb2Br crystal from Alexandria. Energies are from PBEsol.

Properties
- energy relative to the elements, uncorrected (kcal/mol of atoms) = -7.36
- symmetry = R-3m
- total magnetic moment (μB/f.u.) = 0.0

CIF file:
```
data_SbPb2Br
_space_group_name_H-M_alt 'P 1'
_space_group_IT_number 1
_cell_length_a 4.5222
_cell_length_b 4.5222
_cell_length_c 7.7054
_cell_angle_alpha 72.94
_cell_angle_beta 72.94
_cell_angle_gamma 60.00
loop_
_space_group_symop_operation_xyz
'x,y,z'
loop_
_atom_site_label
_atom_site_type_symbol
_atom_site_fract_x
_atom_site_fract_y
_atom_site_fract_z
_atom_site_occupancy
Pb1 Pb 0.7431 0.7431 0.7706 1
Pb2 Pb 0.2569 0.2569 0.2294 1
Sb1 Sb 0.0000 0.0000 0.0000 1
Br1 Br 0.5000 0.5000 0.5000 1
```